# FeAuSe4 PBE optimized geometry
data_FeAuSe4
_space_group_name_H-M_alt 'P 1'
_space_group_IT_number 1
_space_group_name_Hall 'P 1'
_cell_length_a 5.6396
_cell_length_b 5.6396
_cell_length_c 5.6396
_cell_angle_alpha 60.00
_cell_angle_beta 60.00
_cell_angle_gamma 60.00
loop_
_atom_site_label
_atom_site_fract_x
_atom_site_fract_y
_atom_site_fract_z
_atom_site_occupancy
Fe1 0.0000 0.0000 0.0000 1
Au1 0.7500 0.7500 0.7500 1
Se1 0.8741 0.3753 0.3753 1
Se2 0.3753 0.3753 0.8741 1
Se3 0.3753 0.8741 0.3753 1
Se4 0.3753 0.3753 0.3753 1
# DOS(E_F) = 6.57 states/eV per cell
# energy relative to the elements, uncorrected = 0.8906 eV per atom
# distance to the lowest polymorph of the same formula = 95.64 kJ/mol of atoms
# E_tot = -20.33 eV per cell

***

# ScFe PBE optimized geometry
data_ScFe
_space_group_name_H-M_alt 'P 1'
_space_group_IT_number 1
_space_group_name_Hall 'P 1'
_cell_length_a 5.4181
_cell_length_b 5.4181
_cell_length_c 6.3445
_cell_angle_alpha 73.03
_cell_angle_beta 73.03
_cell_angle_gamma 34.59
loop_
_atom_site_label
_atom_site_fract_x
_atom_site_fract_y
_atom_site_fract_z
_atom_site_occupancy
Sc1 0.6940 0.6940 0.6272 1
Sc2 0.9879 0.9879 0.4498 1
Sc3 0.7114 0.7114 0.0949 1
Fe1 0.0077 0.0077 0.9601 1
Fe2 0.3923 0.3923 0.7989 1
Fe3 0.3735 0.3735 0.2358 1
# DOS(E_F) = 5.64 states/eV per cell
# formation energy from the elements = 0.00 eV/atom
# E_tot = -44.40 eV per cell

***

# SrTaPt2 PBE optimized geometry
data_SrTaPt2
_space_group_name_H-M_alt 'P 1'
_space_group_IT_number 1
_space_group_name_Hall 'P 1'
_cell_length_a 3.5025
_cell_length_b 3.5025
_cell_length_c 7.2644
_cell_angle_alpha 90.00
_cell_angle_beta 90.00
_cell_angle_gamma 90.00
loop_
_atom_site_label
_atom_site_fract_x
_atom_site_fract_y
_atom_site_fract_z
_atom_site_occupancy
Pt1 0.0000 0.0000 0.9827 1
Pt2 0.5000 0.5000 0.1997 1
Sr1 0.0000 0.0000 0.4717 1
Ta1 0.5000 0.5000 0.8459 1
# DOS(E_F) = 3.44 states/eV per cell
# formation energy from the elements = -0.17 eV/atom
# distance to the lowest polymorph of the same formula = 39.90 kJ/mol of atoms
# E_tot = -26.28 eV per cell

***

# Tm3Pa2C4 PBE optimized geometry
data_Tm3Pa2C4
_space_group_name_H-M_alt 'P 1'
_space_group_IT_number 1
_space_group_name_Hall 'P 1'
_cell_length_a 3.5547
_cell_length_b 6.1628
_cell_length_c 7.9079
_cell_angle_alpha 74.40
_cell_angle_beta 77.01
_cell_angle_gamma 73.24
loop_
_atom_site_label
_atom_site_fract_x
_atom_site_fract_y
_atom_site_fract_z
_atom_site_occupancy
Tm1 0.0000 0.0000 0.0000 1
Tm2 0.2060 0.4010 0.1870 1
Tm3 0.7940 0.5990 0.8130 1
Pa1 0.5979 0.1946 0.6096 1
Pa2 0.4021 0.8054 0.3904 1
C1 0.8010 0.0775 0.3205 1
C2 0.1990 0.9225 0.6795 1
C3 0.4069 0.3011 0.8851 1
C4 0.5931 0.6989 0.1149 1
# DOS(E_F) = 5.38 states/eV per cell
# formation energy from the elements = -0.36 eV/atom
# E_tot = -72.52 eV per cell

***

# Mn2AuSe PBE optimized geometry
data_Mn2AuSe
_space_group_name_H-M_alt 'P 1'
_space_group_IT_number 1
_space_group_name_Hall 'P 1'
_cell_length_a 6.8819
_cell_length_b 6.8819
_cell_length_c 5.9443
_cell_angle_alpha 54.63
_cell_angle_beta 54.63
_cell_angle_gamma 90.00
loop_
_atom_site_label
_atom_site_fract_x
_atom_site_fract_y
_atom_site_fract_z
_atom_site_occupancy
Mn1 0.6125 0.1250 0.2500 1
Mn2 0.1375 0.6250 0.2500 1
Mn3 0.3750 0.3875 0.7500 1
Mn4 0.8750 0.8625 0.7500 1
Au1 0.0000 0.0000 0.0000 1
Au2 0.7500 0.2500 0.5000 1
Se1 0.5000 0.5000 0.0000 1
Se2 0.2500 0.7500 0.5000 1
# DOS(E_F) = 9.13 states/eV per cell
# energy relative to the elements, uncorrected = 0.1910 eV per atom
# E_tot = -48.67 eV per cell

***

# PmNd5Y2Er PBE optimized geometry
data_PmNd5Y2Er
_space_group_name_H-M_alt 'P 1'
_space_group_IT_number 1
_space_group_name_Hall 'P 1'
_cell_length_a 5.6916
_cell_length_b 10.6353
_cell_length_c 10.7612
_cell_angle_alpha 90.00
_cell_angle_beta 90.00
_cell_angle_gamma 105.52
loop_
_atom_site_label
_atom_site_fract_x
_atom_site_fract_y
_atom_site_fract_z
_atom_site_occupancy
Pm1 0.7984 0.5967 0.5090 1
Pm2 0.2016 0.4033 0.0090 1
Nd1 0.3917 0.7834 0.0243 1
Nd2 0.7183 0.4367 0.8087 1
Nd3 0.4804 0.9609 0.7434 1
Nd4 0.2963 0.5927 0.7030 1
Nd5 0.9828 0.9656 0.5212 1
Nd6 0.6083 0.2166 0.5243 1
Nd7 0.2817 0.5633 0.3087 1
Nd8 0.5196 0.0391 0.2434 1
Nd9 0.7037 0.4073 0.2030 1
Nd10 0.0172 0.0344 0.0212 1
Y1 0.8837 0.7674 0.8166 1
Y2 0.1105 0.2210 0.7372 1
Y3 0.1163 0.2326 0.3166 1
Y4 0.8895 0.7790 0.2372 1
Er1 0.5906 0.1812 0.9605 1
Er2 0.4094 0.8188 0.4605 1
# DOS(E_F) = 28.93 states/eV per cell
# formation energy from the elements = 0.14 eV/atom
# E_tot = -89.66 eV per cell

***

# SmHoPu2Se5 PBE optimized geometry
data_SmHoPu2Se5
_space_group_name_H-M_alt 'P 1'
_space_group_IT_number 1
_space_group_name_Hall 'P 1'
_cell_length_a 5.1192
_cell_length_b 5.1192
_cell_length_c 10.8936
_cell_angle_alpha 90.00
_cell_angle_beta 90.00
_cell_angle_gamma 90.00
loop_
_atom_site_label
_atom_site_fract_x
_atom_site_fract_y
_atom_site_fract_z
_atom_site_occupancy
Sm1 0.0000 0.0000 0.0000 1
Ho1 0.0000 0.0000 0.5000 1
Pu1 0.5000 0.5000 0.3109 1
Pu2 0.5000 0.5000 0.6891 1
Se1 0.0000 0.5000 0.5000 1
Se2 0.5000 0.0000 0.5000 1
Se3 0.0000 0.0000 0.7526 1
Se4 0.0000 0.0000 0.2474 1
Se5 0.5000 0.5000 0.0000 1
# DOS(E_F) = 31.65 states/eV per cell
# energy relative to the elements, uncorrected = -1.1703 eV per atom
# E_tot = -65.92 eV per cell

***

# CrTeW2 PBE optimized geometry
data_CrTeW2
_space_group_name_H-M_alt 'P 1'
_space_group_IT_number 1
_space_group_name_Hall 'P 1'
_cell_length_a 4.5307
_cell_length_b 4.5307
_cell_length_c 3.1926
_cell_angle_alpha 90.00
_cell_angle_beta 90.00
_cell_angle_gamma 90.00
loop_
_atom_site_label
_atom_site_fract_x
_atom_site_fract_y
_atom_site_fract_z
_atom_site_occupancy
Cr1 0.5000 0.0000 0.5000 1
Te1 0.0000 0.5000 0.5000 1
W1 0.0000 0.0000 0.0000 1
W2 0.5000 0.5000 0.0000 1
# DOS(E_F) = 3.95 states/eV per cell
# energy relative to the elements, uncorrected = 0.7325 eV per atom
# E_tot = -35.74 eV per cell